(1)
A plane-wave DFT calculation with GGA-PBE was carried out for an optimized crystal structure of CdBi2Pb5.

Cell: 5.853 6.935 13.721 Å, 90.00 90.00 114.96°
Element x y z (fractional)
Cd 0.683 0.366 0.750
Cd 0.317 0.634 0.250
Bi 0.835 0.670 0.372
Bi 0.835 0.670 0.128
Bi 0.165 0.330 0.628
Bi 0.165 0.330 0.872
Pb 0.903 0.806 0.878
Pb 0.903 0.806 0.622
Pb 0.370 0.741 0.484
Pb 0.370 0.741 0.016
Pb 0.575 0.149 0.250
Pb 0.425 0.851 0.750
Pb 0.630 0.259 0.516
Pb 0.630 0.259 0.984
Pb 0.097 0.194 0.122
Pb 0.097 0.194 0.378

Summary:
* density of states at the Fermi level: 8.4 states/eV per cell

***

(2)
A plane-wave DFT calculation with GGA-PBE was carried out for an optimized crystal structure of Cd3Bi2Pb2.

Cell: 4.775 6.270 7.521 Å, 100.50 90.00 112.38°
Element x y z (fractional)
Cd 0.500 0.000 0.000
Cd 0.615 0.230 0.428
Cd 0.385 0.770 0.572
Bi 0.815 0.629 0.808
Bi 0.185 0.371 0.192
Pb 0.902 0.803 0.264
Pb 0.098 0.197 0.736

Summary:
* density of states at the Fermi level: 3.0 states/eV per cell

***

(3)
A plane-wave DFT calculation with GGA-PBE was carried out for an optimized crystal structure of CdBiPb4.

Cell: 7.625 7.622 8.966 Å, 115.00 115.01 90.33°
Element x y z (fractional)
Cd 0.875 0.125 0.250
Cd 0.125 0.875 0.750
Bi 0.375 0.625 0.250
Bi 0.625 0.375 0.750
Pb 0.231 0.000 0.499
Pb 0.000 0.769 0.001
Pb 0.231 0.500 0.501
Pb 0.500 0.768 0.999
Pb 0.769 0.000 0.501
Pb 0.769 0.500 0.499
Pb 0.000 0.231 0.999
Pb 0.500 0.232 0.001

Summary:
* density of states at the Fermi level: 3.8 states/eV per cell

***

(4)
A plane-wave DFT calculation with GGA-PBE was carried out for an optimized crystal structure of CdBi6Pb5.

Cell: 7.349 9.494 9.494 Å, 134.08 102.69 102.69°
Element x y z (fractional)
Pb 0.500 0.173 0.827
Pb 0.000 0.336 0.664
Pb 0.500 0.500 0.500
Pb 0.000 0.664 0.336
Pb 0.500 0.827 0.173
Bi 0.235 0.074 0.398
Bi 0.765 0.602 0.926
Bi 0.747 0.224 0.224
Bi 0.253 0.776 0.776
Bi 0.235 0.398 0.074
Bi 0.765 0.926 0.602
Cd 0.000 0.000 0.000

Summary:
* density of states at the Fermi level: 6.6 states/eV per cell

***

(5)
A plane-wave DFT calculation with GGA-PBE was carried out for an optimized crystal structure of Cd4Bi4Pb.

Cell: 5.809 9.499 9.499 Å, 90.00 90.00 90.00°
Element x y z (fractional)
Cd 0.495 0.449 0.843
Cd 0.995 0.657 0.949
Cd 0.495 0.551 0.157
Cd 0.005 0.051 0.657
Cd 0.505 0.843 0.551
Cd 0.005 0.949 0.343
Cd 0.995 0.343 0.051
Cd 0.505 0.157 0.449
Bi 0.504 0.888 0.218
Bi 0.504 0.112 0.782
Bi 0.004 0.718 0.612
Bi 0.996 0.388 0.718
Bi 0.996 0.612 0.282
Bi 0.496 0.218 0.112
Bi 0.496 0.782 0.888
Bi 0.004 0.282 0.388
Pb 0.000 0.000 0.000
Pb 0.500 0.500 0.500

Summary:
* density of states at the Fermi level: 7.5 states/eV per cell

***

(6)
A plane-wave DFT calculation with GGA-PBE was carried out for an optimized crystal structure of Cd2Bi5Pb12.

Cell: 6.873 11.108 9.414 Å, 65.81 90.00 108.02°
Element x y z (fractional)
Cd 0.787 0.000 0.000
Cd 0.213 0.000 0.000
Bi 0.241 0.483 0.500
Bi 0.379 0.759 0.037
Bi 0.000 0.000 0.500
Bi 0.621 0.241 0.963
Bi 0.759 0.517 0.500
Pb 0.114 0.228 0.109
Pb 0.023 0.538 0.795
Pb 0.515 0.538 0.795
Pb 0.161 0.811 0.361
Pb 0.650 0.811 0.361
Pb 0.427 0.854 0.664
Pb 0.573 0.146 0.336
Pb 0.839 0.189 0.639
Pb 0.350 0.189 0.639
Pb 0.977 0.462 0.205
Pb 0.485 0.462 0.205
Pb 0.886 0.772 0.891

Summary:
* density of states at the Fermi level: 9.3 states/eV per cell

***

(7)
A plane-wave DFT calculation with GGA-PBE was carried out for an optimized crystal structure of CdBiPb2.

Cell: 4.749 4.749 7.452 Å, 71.42 71.42 60.00°
Element x y z (fractional)
Cd 0.498 0.498 0.506
Bi 0.667 0.667 0.000
Pb 0.086 0.086 0.742
Pb 0.249 0.249 0.252

Summary:
* density of states at the Fermi level: 2.0 states/eV per cell

***

(8)
A plane-wave DFT calculation with GGA-PBE was carried out for an optimized crystal structure of Cd3Bi2Pb7.

Cell: 4.532 5.092 16.806 Å, 98.71 90.00 90.00°
Element x y z (fractional)
Cd 0.500 0.500 0.000
Cd 0.500 0.655 0.310
Cd 0.500 0.345 0.690
Bi 0.000 0.845 0.689
Bi 0.000 0.155 0.311
Pb 0.000 0.423 0.847
Pb 0.000 0.719 0.438
Pb 0.000 0.000 0.000
Pb 0.000 0.577 0.153
Pb 0.500 0.080 0.161
Pb 0.500 0.920 0.839
Pb 0.000 0.281 0.562

Summary:
* density of states at the Fermi level: 4.9 states/eV per cell

***

| no. | E_form (eV/atom) | ρ (g/cm³) | calculated volume (Å³/atom) |
| --- | --- | --- | --- |
| 1 | 0.0580 | 10.3 | 31.56 |
| 2 | 0.0501 | 9.5 | 29.16 |
| 3 | 0.0735 | 9.2 | 34.75 |
| 4 | 0.0474 | 10.1 | 32.77 |
| 5 | 0.0560 | 9.5 | 29.12 |
| 6 | 0.0713 | 10.1 | 32.46 |
| 7 | 0.1058 | 9.0 | 33.83 |
| 8 | 0.0832 | 9.6 | 31.95 |